1.
Below is crystalline PmErAl6 at its relaxed geometry, with properties calculated at the PBE level.

Output
Uncorrected energy ... -0.1483 hartree per atom
Magnetic moment ... 0.0 Bohr magnetons per cell

a = 5.5333 Å, b = 5.5333 Å, c = 5.5333 Å
α = 90.00°, β = 90.00°, γ = 90.00°
Closest atoms and distances in Å follow each position.
Space group Pm-3 (No. 200)
Symmetry-distinct sites (fractional):
Pm1 0.0000 0.0000 0.0000 x1  12 Al 3.10
Er1 0.5000 0.5000 0.5000 x1  12 Al 3.09
Al1 0.0000 0.2513 0.5000 x6  2 Al 2.75-2.78

2.
Below is crystalline PmEr4Al4 at its relaxed geometry, with properties calculated at the PBE level.

Output
Uncorrected energy ... -0.1611 hartree per atom
Magnetic moment ... 0.0 Bohr magnetons per cell

a = 9.7308 Å, b = 9.7308 Å, c = 5.0935 Å
α = 90.00°, β = 90.00°, γ = 90.00°
Closest atoms and distances in Å follow each position.
Space group I4/m (No. 87)
Symmetry-distinct sites (fractional):
Pm1 0.0000 0.0000 0.0000 x2  8 Al 3.18
Er1 0.1085 0.3534 0.0000 x8  4 Al 3.02-3.08
Al1 0.0786 0.1787 0.5000 x8  2 Al 2.69

3.
Below is crystalline Pm2Er3Al3 at its relaxed geometry, with properties calculated at the PBE level.

Output
Uncorrected energy ... -0.1682 hartree per atom
Magnetic moment ... 0.0 Bohr magnetons per cell

a = 3.6898 Å, b = 5.1101 Å, c = 21.7905 Å
α = 90.00°, β = 90.00°, γ = 90.00°
Closest atoms and distances in Å follow each position.
Space group Immm (No. 71)
Symmetry-distinct sites (fractional):
Pm1 0.0000 0.0000 0.2288 x4  2 Al 3.14, 4 Pm 3.28
Er1 0.0000 0.0000 0.0000 x2  8 Al 3.07-3.15
Er2 0.0000 0.5000 0.1169 x4  6 Al 3.15
Al1 0.0000 0.0000 0.5000 x2  8 Er 3.15
Al2 0.0000 0.5000 0.3876 x4  6 Er 3.07-3.15, 2 Pm 3.14

4.
Below is crystalline PmEr6Al at its relaxed geometry, with properties calculated at the PBE level.

Output
Uncorrected energy ... -0.1670 hartree per atom
Magnetic moment ... 0.0 Bohr magnetons per cell

a = 4.8337 Å, b = 4.8337 Å, c = 9.8755 Å
α = 90.00°, β = 90.00°, γ = 90.00°
Closest atoms and distances in Å follow each position.
Space group P4/mmm (No. 123)
Symmetry-distinct sites (fractional):
Pm1 0.0000 0.0000 0.0000 x1  12 Er 3.42-3.55
Er1 0.0000 0.5000 0.2629 x4  8 Er 3.37-3.55, 2 Al 3.37, 2 Pm 3.55
Er2 0.5000 0.5000 0.0000 x1  4 Pm 3.42, 8 Er 3.55
Er3 0.5000 0.5000 0.5000 x1  8 Er 3.37, 4 Al 3.42
Al1 0.0000 0.0000 0.5000 x1  12 Er 3.37-3.42

5.
Below is crystalline Pm14ErAl at its relaxed geometry, with properties calculated at the PBE level.

Output
Uncorrected energy ... -0.1721 hartree per atom
Magnetic moment ... 0.0 Bohr magnetons per cell

a = 7.1814 Å, b = 7.1814 Å, c = 10.1572 Å
α = 90.00°, β = 90.00°, γ = 90.00°
Closest atoms and distances in Å follow each position.
Space group P4/mmm (No. 123)
Symmetry-distinct sites (fractional):
Pm1 0.0000 0.0000 0.0000 x1  12 Pm 3.59-3.62
Pm2 0.0000 0.5000 0.0000 x2  12 Pm 3.59-3.65
Pm3 0.0000 0.5000 0.5000 x2  8 Pm 3.54, 2 Al 3.59, 2 Er 3.59
Pm4 0.2455 0.2455 0.2578 x8  1 Al 3.50, 10 Pm 3.53-3.68, 1 Er 3.57
Pm5 0.5000 0.5000 0.0000 x1  12 Pm 3.59-3.68
Er1 0.5000 0.5000 0.5000 x1  12 Pm 3.57-3.59
Al1 0.0000 0.0000 0.5000 x1  12 Pm 3.50-3.59

6.
Below is crystalline Pm4Er9Al11 at its relaxed geometry, with properties calculated at the PBE level.

Output
Uncorrected energy ... -0.1667 hartree per atom
Magnetic moment ... 0.0 Bohr magnetons per cell

a = 15.4020 Å, b = 22.4854 Å, c = 3.3393 Å
α = 90.00°, β = 90.00°, γ = 90.00°
Closest atoms and distances in Å follow each position.
Space group Cmmm (No. 65)
Symmetry-distinct sites (fractional):
Pm1 0.1804 0.0818 0.0000 x8  6 Al 3.20-3.36, 3 Er 3.33, 2 Pm 3.34
Er1 0.0000 0.0000 0.0000 x2  4 Al 3.19, 4 Pm 3.33, 2 Er 3.34
Er2 0.1053 0.4006 0.0000 x8  8 Al 3.07-3.23, 3 Er 3.24-3.34, 1 Pm 3.33
Er3 0.1116 0.2221 0.0000 x8  8 Al 3.10-3.31, 1 Pm 3.33, 3 Er 3.34-3.44
Al1 0.0000 0.1207 0.5000 x4  6 Er 3.19-3.31, 2 Al 3.34, 4 Pm 3.36
Al2 0.0000 0.3093 0.5000 x4  8 Er 3.10, 4 Al 3.34-3.44
Al3 0.0000 0.5000 0.5000 x2  2 Al 2.90, 8 Er 3.23
Al4 0.1885 0.5000 0.5000 x4  1 Al 2.90, 4 Er 3.07, 4 Pm 3.20
Al5 0.2231 0.3113 0.5000 x8  1 Al 2.88, 6 Er 3.12-3.18

7.
Below is crystalline Pm2ErAl6 at its relaxed geometry, with properties calculated at the PBE level.

Output
Uncorrected energy ... -0.1667 hartree per atom
Magnetic moment ... 0.0 Bohr magnetons per cell

a = 7.9528 Å, b = 7.9528 Å, c = 3.5733 Å
α = 90.00°, β = 90.00°, γ = 120.00°
Closest atoms and distances in Å follow each position.
Space group P6/mmm (No. 191)
Symmetry-distinct sites (fractional):
Pm1 0.3333 0.6667 0.0000 x2  12 Al 3.20, 2 Pm 3.57
Er1 0.0000 0.0000 0.0000 x1  12 Al 3.18
Al1 0.0000 0.3311 0.5000 x6  3 Al 2.63-2.69

8.
Below is crystalline PmEr2Al3 at its relaxed geometry, with properties calculated at the PBE level.

Output
Uncorrected energy ... -0.1680 hartree per atom
Magnetic moment ... 0.0 Bohr magnetons per cell

a = 3.5919 Å, b = 3.5919 Å, c = 10.9470 Å
α = 90.00°, β = 90.00°, γ = 90.00°
Closest atoms and distances in Å follow each position.
Space group P4/mmm (No. 123)
Symmetry-distinct sites (fractional):
Pm1 0.0000 0.0000 0.0000 x1  8 Al 3.21
Er1 0.0000 0.0000 0.3384 x2  8 Al 3.08-3.10
Al1 0.5000 0.5000 0.1788 x2  4 Er 3.08, 4 Pm 3.21
Al2 0.5000 0.5000 0.5000 x1  8 Er 3.10